The following is a DFT calculation (PBE) of crystalline ZrRe2Ni at its relaxed geometry.

Calculated values
Calculated density in g/cm³: 13.92
ΔH_f (0 K) in eV per atom: 0.362
Offset from the most stable computed form in eV/f.u.: 1.652
N(E_F) in states/eV per cell: 13.47

a = 6.2929 Å, b = 6.2929 Å, c = 6.2929 Å
α = 90.00°, β = 90.00°, γ = 90.00°
Space group Fm-3m (No. 225)
Unique sites:
Zr 0.0000 0.0000 0.0000
Re 0.2500 0.2500 0.2500
Ni 0.0000 0.0000 0.5000

---

The following is a DFT calculation (PBE) of crystalline ZrRe3Ni at its relaxed geometry.

Calculated values
Calculated density in g/cm³: 11.08
ΔH_f (0 K) in eV per atom: 2.856
N(E_F) in states/eV per cell: 6.66

a = 4.7359 Å, b = 4.7359 Å, c = 4.7359 Å
α = 90.00°, β = 90.00°, γ = 90.00°
Space group Pm-3m (No. 221)
Unique sites:
Zr 0.0000 0.0000 0.0000
Re 0.0000 0.0000 0.5000
Ni 0.5000 0.5000 0.5000

---

The following is a DFT calculation (PBE) of crystalline ZrRe2Ni at its relaxed geometry.

Calculated values
Calculated density in g/cm³: 13.90
ΔH_f (0 K) in eV per atom: 0.074
Offset from the most stable computed form in eV/f.u.: 0.499
N(E_F) in states/eV per cell: 8.24

a = 5.3438 Å, b = 9.2398 Å, c = 2.7240 Å
α = 90.00°, β = 111.88°, γ = 90.00°
Space group C2/m (No. 12)
Unique sites:
Zr 0.0000 0.0000 0.0000
Re 0.2500 0.2500 0.5000
Ni 0.0000 0.5000 0.0000